An optimized crystal structure of LiBe2, computed with PBEsol.

Cell lengths 3.690, 3.690, 3.690 Å; angles 108.84, 108.84, 110.73 degrees
Fractional positions:
Be (0.250, 0.750, 0.500)
Be (0.750, 0.250, 0.500)
Li (0.000, 0.000, 0.000)

Computed properties:
- Total energy: -2.484 eV per atom
- ΔH_f (0 K): 839 meV per atom
- Excess energy over the best structure of this formula in the dataset: 664.6 meV/atom